No. 1
DFT (PBE) results for DyHoTe3 after structural relaxation.

Its calculated volume is 35.74 Å³/atom. The offset from the most stable computed form is 0 meV per atom. The calculation puts the magnetization at 0.00 μB per atom.

abc: 7.6688 7.6688 21.0514
angles: 90.00 90.00 120.00
Last column: nearest neighbours and their distance in Å.
Space group R-3 (No. 148, hexagonal axes)
Symmetry-distinct sites (fractional):
Dy: 0.0000 0.0000 0.1572 (multiplicity 6)  6 Te 3.06-3.11
Ho: 0.0000 0.0000 0.3425 (multiplicity 6)  6 Te 3.05-3.10
Te: 0.0011 0.6862 0.2502 (multiplicity 18)  2 Ho 3.05-3.10, 2 Dy 3.06-3.11

No. 2
DFT (PBE) results for RbSi after structural relaxation.

The value obtained for the density of states at the Fermi level is 0.844 states/eV/atom. Its calculated volume is 47.06 Å³/atom. The offset from the most stable computed form is 317 meV per atom. The calculation puts the magnetization at 0.09 μB per atom.

abc: 6.4626 12.5146 6.9823
angles: 90.00 90.00 90.00
Last column: nearest neighbours and their distance in Å.
Space group Imm2 (No. 44)
Symmetry-distinct sites (fractional):
Rb: 0.0000 0.0000 0.0000 (multiplicity 2)  2 Si 3.42
Rb: 0.0000 0.3172 0.1342 (multiplicity 4)  4 Si 3.49-3.68
Si: 0.0000 0.3239 0.6343 (multiplicity 4)  1 Si 2.21
Si: 0.0000 0.5000 0.6600 (multiplicity 2)  2 Si 2.21

No. 3
DFT (PBE) results for Mg2GaBi after structural relaxation.

The value obtained for the density of states at the Fermi level is 0.778 states/eV/atom. Its calculated volume is 25.31 Å³/atom. The energy relative to the elements is 0.075 eV per atom. The offset from the most stable computed form is 175 meV per atom. The calculation puts the magnetization at 0.00 μB per atom.

abc: 7.9818 7.9818 6.3570
angles: 90.00 90.00 90.00
Last column: nearest neighbours and their distance in Å.
Space group I-42d (No. 122)
Symmetry-distinct sites (fractional):
Mg: 0.2287 0.2500 0.1250 (multiplicity 8)  2 Ga 2.82, 2 Bi 3.05
Ga: 0.0000 0.0000 0.0000 (multiplicity 4)  4 Mg 2.82
Bi: 0.0000 0.0000 0.5000 (multiplicity 4)  4 Mg 3.05, 2 Ga 3.18

No. 4
DFT (PBE) results for Ta3SiH2 after structural relaxation.

The value obtained for the density of states at the Fermi level is 0.368 states/eV/atom. Its calculated volume is 13.09 Å³/atom. The calculation puts the magnetization at 0.00 μB per atom. The value obtained for the total energy is -191.03 eV/cell.

abc: 17.0078 2.8148 6.8069
angles: 90.00 105.44 90.00
Last column: nearest neighbours and their distance in Å.
Space group C2/m (No. 12)
Symmetry-distinct sites (fractional):
Ta: 0.0605 0.0000 0.1866 (multiplicity 4)  1 H 1.98
Ta: 0.1011 0.5000 0.8353 (multiplicity 4)  3 H 1.89-1.98
Ta: 0.2353 0.5000 0.2326 (multiplicity 4)  3 H 1.99-2.10
Si: 0.1467 0.5000 0.4999 (multiplicity 4)  6 Ta 2.60-2.72, 2 Si 2.81, 1 H 2.86
H: 0.0291 0.0000 0.6785 (multiplicity 4)  3 Ta 1.98
H: 0.2161 0.5000 0.9311 (multiplicity 4)  4 Ta 1.89-2.10, 2 H 1.90

No. 5
DFT (PBE) results for Tm3Pd2 after structural relaxation.

The value obtained for the density of states at the Fermi level is 0.666 states/eV/atom. Its calculated volume is 23.16 Å³/atom. The energy relative to the elements is -0.776 eV per atom. The offset from the most stable computed form is 0 meV per atom. The calculation puts the magnetization at 0.00 μB per atom.

abc: 7.6642 7.6642 3.9434
angles: 90.00 90.00 90.00
Last column: nearest neighbours and their distance in Å.
Space group P4/mbm (No. 127)
Symmetry-distinct sites (fractional):
Tm: 0.0000 0.0000 0.0000 (multiplicity 2)  4 Pd 2.98
Tm: 0.1636 0.3364 0.5000 (multiplicity 4)  6 Pd 2.94-3.03
Pd: 0.1351 0.6351 0.0000 (multiplicity 4)  1 Pd 2.93, 8 Tm 2.94-3.03

No. 6
DFT (PBE) results for AcTlPbAu after structural relaxation.

The value obtained for the density of states at the Fermi level is 0.615 states/eV/atom. Its calculated volume is 29.05 Å³/atom. The energy relative to the elements is -0.400 eV per atom. The calculation puts the magnetization at 0.00 μB per atom.

abc: 7.7459 7.7459 7.7459
angles: 90.00 90.00 90.00
Last column: nearest neighbours and their distance in Å.
Space group F-43m (No. 216)
Symmetry-distinct sites (fractional):
Ac: 0.0000 0.0000 0.0000 (multiplicity 4)  4 Tl 3.35, 4 Au 3.35
Tl: 0.2500 0.2500 0.7500 (multiplicity 4)  4 Ac 3.35, 4 Pb 3.35
Pb: 0.0000 0.0000 0.5000 (multiplicity 4)  4 Au 3.35, 4 Tl 3.35
Au: 0.2500 0.2500 0.2500 (multiplicity 4)  4 Ac 3.35, 4 Pb 3.35

No. 7
DFT (PBE) results for KNaAlCd2 after structural relaxation.

The value obtained for the density of states at the Fermi level is 0.443 states/eV/atom. Its calculated volume is 33.75 Å³/atom. The energy relative to the elements is 0.092 eV per atom. The calculation puts the magnetization at 0.00 μB per atom.

abc: 5.3928 5.3928 5.8025
angles: 90.00 90.00 90.00
Last column: nearest neighbours and their distance in Å.
Space group P4/mmm (No. 123)
Symmetry-distinct sites (fractional):
K: 0.0000 0.0000 0.0000 (multiplicity 1)  4 Na 3.81, 8 Cd 3.96
Na: 0.5000 0.5000 0.0000 (multiplicity 1)  2 Al 2.90
Al: 0.5000 0.5000 0.5000 (multiplicity 1)  4 Cd 2.70, 2 Na 2.90
Cd: 0.0000 0.5000 0.5000 (multiplicity 2)  2 Al 2.70

No. 8
DFT (PBE) results for Dy3TlSn2 after structural relaxation.

The value obtained for the density of states at the Fermi level is 0.796 states/eV/atom. Its calculated volume is 27.23 Å³/atom. The energy relative to the elements is -0.522 eV per atom. The calculation puts the magnetization at 0.00 μB per atom.

abc: 16.5903 6.3224 6.3557
angles: 90.00 101.44 90.00
Last column: nearest neighbours and their distance in Å.
Space group C2/c (No. 15)
Symmetry-distinct sites (fractional):
Dy: 0.0000 0.1261 0.2500 (multiplicity 4)  2 Tl 3.13-3.19, 4 Sn 3.15-3.37
Dy: 0.1714 0.3854 0.5980 (multiplicity 8)  5 Sn 3.13-3.48, 1 Tl 3.18, 2 Dy 3.49
Tl: 0.0000 0.3781 0.7500 (multiplicity 4)  4 Dy 3.13-3.19, 2 Sn 3.47
Sn: 0.1624 0.1086 0.0656 (multiplicity 8)  7 Dy 3.13-3.48, 2 Sn 3.46, 1 Tl 3.47

The highest calculated volume belongs to which entry?
RbSi

The highest magnetization belongs to which entry?
RbSi

Look up the calculated volume of the first one.
35.74 Å³/atom

The highest magnetization belongs to which entry?
RbSi